GdTmSe after structural relaxation. Source: Alexandria via LeMat-Bulk, functional PBE.

Summary:
formation energy (no corrections): -1.114 eV per atom
distance to the lowest polymorph of the same formula: 0.0000 eV per atom
DOS at the Fermi energy: 3.18 states/eV per cell
raw total energy: -25.4 eV for the cell shown
symmetry: P3m1

```
GdTmSe
1.0
3.833 0.000 0.000
-1.917 3.320 0.000
0.000 0.000 6.548
Gd Tm Se
1 1 1
Cartesian
0.000 0.000 0.000 Gd
0.000 2.213 3.715 Tm
1.917 1.107 1.903 Se
```

Ca2ReSe2 after structural relaxation. Source: Alexandria via LeMat-Bulk, functional PBE.

Summary:
formation energy (no corrections): -0.576 eV per atom
distance to the lowest polymorph of the same formula: 0.0000 eV per atom
DOS at the Fermi energy: 7.23 states/eV per cell
raw total energy: -52.6 eV for the cell shown
symmetry: P4/mbm

```
Ca2ReSe2
1.0
7.188 0.000 0.000
0.000 7.188 0.000
0.000 0.000 4.079
Ca Re Se
4 2 4
Cartesian
1.131 2.463 0.000 Ca
2.463 6.057 0.000 Ca
4.725 1.131 0.000 Ca
6.057 4.725 0.000 Ca
0.000 0.000 2.039 Re
3.594 3.594 2.039 Re
1.154 4.748 2.039 Se
2.440 1.154 2.039 Se
4.748 6.034 2.039 Se
6.034 2.440 2.039 Se
```

Zr6Tc5Ir after structural relaxation. Source: Alexandria via LeMat-Bulk, functional PBE.

Summary:
DOS at the Fermi energy: 10.19 states/eV per cell
raw total energy: -117.8 eV for the cell shown
symmetry: Immm
energy relative to the elements: -0.485 eV/atom

```
Zr6Tc5Ir
1.0
-2.332 3.285 6.993
2.332 -3.285 6.993
2.332 3.285 -6.993
Zr Tc Ir
6 5 1
Cartesian
2.332 1.635 -2.341 Zr
0.000 1.627 0.000 Zr
2.332 1.635 2.341 Zr
0.000 1.651 4.652 Zr
0.000 4.944 0.000 Zr
0.000 1.651 9.335 Zr
2.332 0.000 0.000 Tc
0.000 0.000 2.329 Tc
2.332 0.000 4.679 Tc
0.000 3.285 2.315 Tc
0.000 0.000 11.658 Tc
0.000 0.000 6.993 Ir
```

PrTh2Cu after structural relaxation. Source: Alexandria via LeMat-Bulk, functional PBE.

Summary:
distance to the lowest polymorph of the same formula: 0.0000 eV per atom
DOS at the Fermi energy: 4.10 states/eV per cell
raw total energy: -23.6 eV for the cell shown
symmetry: P4/mmm
energy relative to the elements: 0.023 eV/atom

```
PrTh2Cu
1.0
3.630 0.000 0.000
0.000 3.630 0.000
0.000 0.000 8.673
Pr Th Cu
1 2 1
Cartesian
0.000 0.000 0.000 Pr
1.815 1.815 2.631 Th
1.815 1.815 6.042 Th
0.000 0.000 4.337 Cu
```

TaMnSi2 after structural relaxation. Source: Alexandria via LeMat-Bulk, functional PBE.

Summary:
formation energy (no corrections): 0.008 eV per atom
DOS at the Fermi energy: 4.81 states/eV per cell
raw total energy: -31.8 eV for the cell shown
symmetry: Fm-3m

```
TaMnSi2
1.0
0.000 3.048 3.048
3.048 0.000 3.048
3.048 3.048 0.000
Ta Mn Si
1 1 2
Cartesian
0.000 0.000 0.000 Ta
3.048 3.048 3.048 Mn
1.524 1.524 1.524 Si
4.572 4.572 4.572 Si
```

MgV2HW after structural relaxation. Source: Alexandria via LeMat-Bulk, functional PBE.

Summary:
DOS at the Fermi energy: 3.65 states/eV per cell
raw total energy: -34.8 eV for the cell shown
symmetry: P4/mmm

```
MgV2HW
1.0
4.056 0.000 0.000
0.000 4.056 0.000
0.000 0.000 3.847
Mg V H W
1 2 1 1
Cartesian
0.000 0.000 0.000 Mg
0.000 2.028 1.923 V
2.028 0.000 1.923 V
2.028 2.028 1.923 H
2.028 2.028 0.000 W
```

CePt2Pb after structural relaxation. Source: Alexandria via LeMat-Bulk, functional PBE.

Summary:
DOS at the Fermi energy: 4.27 states/eV per cell
raw total energy: -24.3 eV for the cell shown
symmetry: P4/mmm
energy relative to the elements: -0.637 eV/atom

```
CePt2Pb
1.0
3.597 0.000 0.000
0.000 3.597 0.000
0.000 0.000 6.911
Ce Pt Pb
1 2 1
Cartesian
0.000 0.000 0.000 Ce
1.799 1.799 1.586 Pt
1.799 1.799 5.325 Pt
0.000 0.000 3.456 Pb
```

NaZnAg after structural relaxation. Source: Alexandria via LeMat-Bulk, functional PBE.

Summary:
distance to the lowest polymorph of the same formula: 0.1761 eV per atom
DOS at the Fermi energy: 1.45 states/eV per cell
raw total energy: -5.2 eV for the cell shown
symmetry: R3m
energy relative to the elements: 0.094 eV/atom

```
NaZnAg
1.0
1.511 0.872 7.425
-1.511 0.872 7.425
0.000 -1.745 7.425
Na Zn Ag
1 1 1
Cartesian
0.000 0.000 0.000 Na
0.000 0.000 4.811 Zn
0.000 0.000 17.457 Ag
```

La2PrAgRu after structural relaxation. Source: Alexandria via LeMat-Bulk, functional PBE.

Summary:
DOS at the Fermi energy: 4.38 states/eV per cell
raw total energy: -27.2 eV for the cell shown
symmetry: P4mm
energy relative to the elements: -0.089 eV/atom

```
La2PrAgRu
1.0
5.426 0.000 0.000
0.000 5.426 0.000
0.000 0.000 5.668
La Pr Ag Ru
2 1 1 1
Cartesian
0.000 2.713 0.000 La
2.713 0.000 0.000 La
0.000 0.000 2.974 Pr
2.713 2.713 3.472 Ag
0.000 0.000 0.212 Ru
```

TaHgAs2 after structural relaxation. Source: Alexandria via LeMat-Bulk, functional PBE.

Summary:
DOS at the Fermi energy: 2.93 states/eV per cell
raw total energy: -20.1 eV for the cell shown
symmetry: Pmmm
energy relative to the elements: 0.347 eV/atom

```
TaHgAs2
1.0
3.456 0.000 0.000
0.000 4.607 0.000
0.000 0.000 4.671
Ta Hg As
1 1 2
Cartesian
0.000 0.000 0.000 Ta
0.000 2.304 2.335 Hg
1.728 0.000 2.335 As
1.728 2.304 0.000 As
```

LaCd6Hg12 after structural relaxation. Source: Alexandria via LeMat-Bulk, functional PBE.

Summary:
distance to the lowest polymorph of the same formula: 0.0000 eV per atom
DOS at the Fermi energy: 5.82 states/eV per cell
raw total energy: -15.4 eV for the cell shown
symmetry: P-1
energy relative to the elements: -0.074 eV/atom

```
LaCd6Hg12
1.0
7.950 0.000 0.000
-1.645 8.257 0.000
-3.619 -3.691 7.260
La Cd Hg
1 6 12
Cartesian
0.000 0.000 0.000 La
-2.519 3.908 3.472 Cd
0.416 5.562 2.056 Cd
-0.167 0.890 5.722 Cd
2.852 3.675 1.538 Cd
2.269 -0.997 5.204 Cd
5.204 0.657 3.788 Cd
-3.097 -0.392 6.750 Hg
-0.239 -1.028 3.248 Hg
-2.591 2.700 6.372 Hg
0.023 2.313 2.562 Hg
-0.732 -2.340 6.132 Hg
2.551 0.399 2.121 Hg
0.134 4.167 5.139 Hg
3.417 6.905 1.128 Hg
2.662 2.252 4.699 Hg
5.275 1.865 0.888 Hg
2.924 5.593 4.012 Hg
5.782 4.958 0.510 Hg
```

Pm3Pt2 after structural relaxation. Source: Alexandria via LeMat-Bulk, functional PBE.

Summary:
distance to the lowest polymorph of the same formula: 0.0291 eV per atom
DOS at the Fermi energy: 12.48 states/eV per cell
raw total energy: -92.8 eV for the cell shown
symmetry: C2/m
energy relative to the elements: -0.923 eV/atom

```
Pm3Pt2
1.0
9.133 -2.184 0.000
9.133 2.184 0.000
-1.490 0.000 10.816
Pm Pt
9 6
Cartesian
0.000 0.000 0.000 Pm
-0.318 0.000 7.127 Pm
4.755 0.000 4.167 Pm
5.923 0.000 0.495 Pm
5.759 0.000 7.807 Pm
11.018 0.000 3.009 Pm
10.853 0.000 10.321 Pm
12.022 0.000 6.648 Pm
17.094 0.000 3.689 Pm
1.789 0.000 5.021 Pt
3.174 0.000 1.450 Pt
8.388 0.000 1.901 Pt
8.389 0.000 8.915 Pt
13.602 0.000 9.365 Pt
14.988 0.000 5.794 Pt
```